Record 1
The following is a GGA-PBE calculation of Li8Br6Cl after structural relaxation, from Alexandria via LeMat-Bulk.

abc: 7.6611 7.6611 7.6611
angles: 100.17 100.17 100.17
Atoms (fractional coordinates):
Li: 0.1723 0.4273 0.6355
Li: 0.2084 0.2084 0.2084
Li: 0.3645 0.8277 0.5727
Li: 0.4273 0.6355 0.1723
Li: 0.5727 0.3645 0.8277
Li: 0.6355 0.1723 0.4273
Li: 0.7916 0.7916 0.7916
Li: 0.8277 0.5727 0.3645
Br: 0.1545 0.5530 0.3291
Br: 0.3291 0.1545 0.5530
Br: 0.4470 0.6709 0.8455
Br: 0.5530 0.3291 0.1545
Br: 0.6709 0.8455 0.4470
Br: 0.8455 0.4470 0.6709
Cl: 0.0000 0.0000 0.0000

## Properties
Total DFT energy (no corrections): -47.1 eV per cell

---

Record 2
The following is a GGA-PBE calculation of Ba2LaCd after structural relaxation, from Alexandria via LeMat-Bulk.

abc: 4.1681 4.1681 10.2308
angles: 90.00 90.00 90.00
Atoms (fractional coordinates):
Ba: 0.0000 0.0000 0.0000
Ba: 0.5000 0.5000 0.3482
La: 0.5000 0.5000 0.7216
Cd: 0.0000 0.0000 0.5639

## Properties
ΔH_f (0 K): -103.6 meV per atom
Offset from the most stable computed form: 0 meV per atom
Total DFT energy (no corrections): -10.1 eV per cell

---

Record 3
The following is a GGA-PBE calculation of KAsW2 after structural relaxation, from Alexandria via LeMat-Bulk.

abc: 3.9598 3.9598 4.9413
angles: 90.00 90.00 90.00
Atoms (fractional coordinates):
K: 0.0000 0.0000 0.0000
As: 0.5000 0.5000 0.0000
W: 0.0000 0.5000 0.5000
W: 0.5000 0.0000 0.5000

## Properties
ΔH_f (0 K): 1539.8 meV per atom
Total DFT energy (no corrections): -25.5 eV per cell